A plane-wave DFT calculation with GGA-PBE was carried out for crystalline AgAu at its relaxed geometry.

a = 7.6252 Å, b = 7.6252 Å, c = 4.7185 Å
α = 90.00°, β = 90.00°, γ = 120.00°
With the nearest neighbours (Å) after each atom.
Element x y z (fractional)
Ag1 0.0575 0.2486 0.7500  5 Au 2.84-2.95, 6 Ag 2.92-2.98
Ag2 0.8089 0.0575 0.2500  5 Au 2.84-2.95, 6 Ag 2.92-2.98
Ag3 0.7514 0.8089 0.7500  5 Au 2.84-2.95, 6 Ag 2.92-2.98
Ag4 0.1911 0.9425 0.7500  5 Au 2.84-2.95, 6 Ag 2.92-2.98
Ag5 0.9425 0.7514 0.2500  5 Au 2.84-2.95, 6 Ag 2.92-2.98
Ag6 0.2486 0.1911 0.2500  5 Au 2.84-2.95, 6 Ag 2.92-2.98
Au1 0.3824 0.9034 0.2500  5 Ag 2.84-2.95, 4 Au 2.86-2.88
Au2 0.0966 0.4790 0.2500  5 Ag 2.84-2.95, 4 Au 2.86-2.88
Au3 0.5210 0.6176 0.2500  5 Ag 2.84-2.95, 4 Au 2.86-2.88
Au4 0.6176 0.0966 0.7500  5 Ag 2.84-2.95, 4 Au 2.86-2.88
Au5 0.4790 0.3824 0.7500  5 Ag 2.84-2.95, 4 Au 2.86-2.88
Au6 0.9034 0.5210 0.7500  5 Ag 2.84-2.95, 4 Au 2.86-2.88

Computed properties:
Density (kg/m³): 12783
Energy (eV per atom): -3.00
SG: P6_3/m (176)
Crystal system: hexagonal
Calculated formation energy (eV per atom): 0.06



A plane-wave DFT calculation with GGA-PBE was carried out for crystalline NiH3W at its relaxed geometry.

a = 3.4372 Å, b = 3.4372 Å, c = 3.4372 Å
α = 90.00°, β = 90.00°, γ = 90.00°
With the nearest neighbours (Å) after each atom.
Element x y z (fractional)
W1 0.0000 0.0000 0.0000  6 H 1.72
H1 0.5000 0.0000 0.0000  2 W 1.72
H2 0.0000 0.0000 0.5000  2 W 1.72
H3 0.0000 0.5000 0.0000  2 W 1.72
Ni1 0.5000 0.5000 0.5000  12 H 2.43

Computed properties:
Density (kg/m³): 10042
Energy (eV per atom): -5.18
SG: Pm-3m (221)
Crystal system: cubic